Record 1
The following is a DFT calculation (GGA-PBE) of a relaxed structure of Ac2La7Er.

Values from the calculation:
The density is 6.6 Mg/m³. Its size of the total moment is 0.0 μB per formula unit. The value obtained for the calculated formation energy is 0.38 eV/atom.

Unit cell a=3.642 b=10.803 c=10.803 alpha=109.03 beta=90.00 gamma=90.00
Sites, in units of the cell vectors:
La: 0.500 0.500 0.500
La: 0.500 0.381 0.137
Ac: 0.500 0.828 0.172
Ac: 0.500 0.172 0.828
La: 0.500 0.619 0.863
La: 0.000 0.666 0.334
Er: 0.000 0.000 0.000
La: 0.500 0.863 0.619
La: 0.000 0.334 0.666
La: 0.500 0.137 0.381

=====

Record 2
The following is a DFT calculation (GGA-PBE) of a relaxed structure of BaNa.

Values from the calculation:
The density is 2.6 Mg/m³. Its size of the total moment is 0.0 μB per formula unit. The value obtained for the calculated formation energy is 0.12 eV/atom.

Unit cell a=14.308 b=14.308 c=4.039 alpha=90.00 beta=90.00 gamma=90.00
Sites, in units of the cell vectors:
Ba: 0.672 0.377 0.000
Na: 0.422 0.874 0.000
Ba: 0.123 0.172 0.500
Ba: 0.877 0.828 0.500
Na: 0.626 0.922 0.500
Ba: 0.328 0.623 0.000
Na: 0.578 0.126 0.000
Na: 0.078 0.626 0.500
Ba: 0.828 0.123 0.500
Na: 0.922 0.374 0.500
Na: 0.126 0.422 0.000
Ba: 0.377 0.328 0.000
Ba: 0.172 0.877 0.500
Na: 0.374 0.078 0.500
Na: 0.874 0.578 0.000
Ba: 0.623 0.672 0.000

=====

Record 3
The following is a DFT calculation (GGA-PBE) of a relaxed structure of ThCd4In.

Values from the calculation:
The density is 8.8 Mg/m³. Its size of the total moment is 0.0 μB per formula unit. The value obtained for the calculated formation energy is 0.00 eV/atom.

Unit cell a=5.976 b=5.976 c=5.976 alpha=60.00 beta=60.00 gamma=60.00
Sites, in units of the cell vectors:
In: 0.000 0.000 0.000
Cd: 0.625 0.625 0.126
Cd: 0.625 0.625 0.625
Cd: 0.625 0.126 0.625
Th: 0.250 0.250 0.250
Cd: 0.126 0.625 0.625

=====

Record 4
The following is a DFT calculation (GGA-PBE) of a relaxed structure of CaHgPb2.

Values from the calculation:
The density is 9.2 Mg/m³. Its size of the total moment is 0.0 μB per formula unit. The value obtained for the calculated formation energy is -0.21 eV/atom.

Unit cell a=3.840 b=4.500 c=6.822 alpha=90.00 beta=90.00 gamma=90.00
Sites, in units of the cell vectors:
Pb: 0.000 0.000 0.986
Ca: 0.500 0.500 0.250
Hg: 0.500 0.500 0.750
Pb: 0.000 0.000 0.514

=====

Record 5
The following is a DFT calculation (GGA-PBE) of a relaxed structure of Ac4TlRuPb.

Values from the calculation:
The density is 8.8 Mg/m³. Its size of the total moment is 0.0 μB per formula unit. The value obtained for the calculated formation energy is -0.28 eV/atom.

Unit cell a=7.859 b=7.834 c=9.532 alpha=90.00 beta=114.34 gamma=90.00
Sites, in units of the cell vectors:
Pb: 0.385 0.250 0.771
Ac: 0.577 0.250 0.153
Ac: 0.926 0.250 0.852
Ac: 0.500 0.000 0.500
Ac: 0.074 0.750 0.148
Ac: 0.000 0.000 0.500
Ac: 0.000 0.500 0.500
Ac: 0.500 0.500 0.500
Ru: 0.757 0.250 0.514
Ac: 0.423 0.750 0.847
Pb: 0.615 0.750 0.229
Tl: 0.884 0.750 0.767
Tl: 0.116 0.250 0.233
Ru: 0.243 0.750 0.486

=====

Record 6
The following is a DFT calculation (GGA-PBE) of a relaxed structure of BaPPdF2.

Values from the calculation:
The density is 4.5 Mg/m³. Its size of the total moment is 0.0 μB per formula unit. The value obtained for the uncorrected formation energy is -0.7610 eV per atom.

Unit cell a=4.164 b=6.642 c=4.164 alpha=90.00 beta=90.00 gamma=90.00
Sites, in units of the cell vectors:
F: 0.000 0.000 0.500
F: 0.500 0.000 0.000
Pd: 0.500 0.500 0.500
Ba: 0.000 0.500 0.000
P: 0.000 0.000 0.000

=====

Record 7
The following is a DFT calculation (GGA-PBE) of a relaxed structure of Sc6Ge2TeS3.

Values from the calculation:
The density is 4.4 Mg/m³. Its size of the total moment is 0.0 μB per formula unit. The value obtained for the uncorrected formation energy is -1.3948 eV per atom.

Unit cell a=3.831 b=7.764 c=8.597 alpha=103.00 beta=102.87 gamma=90.00
Sites, in units of the cell vectors:
Sc: 0.334 0.414 0.667
S: 0.836 0.164 0.673
Sc: 0.003 0.281 0.006
Te: 0.500 0.000 0.000
Ge: 0.168 0.336 0.335
S: 0.164 0.836 0.327
S: 0.500 0.500 0.000
Ge: 0.832 0.664 0.665
Sc: 0.997 0.719 0.994
Sc: 0.666 0.586 0.333
Sc: 0.324 0.904 0.648
Sc: 0.676 0.096 0.352

=====

Record 8
The following is a DFT calculation (GGA-PBE) of a relaxed structure of Ag2PPbSe4.

Values from the calculation:
The density is 7.0 Mg/m³. Its size of the total moment is 0.0 μB per formula unit. The value obtained for the uncorrected formation energy is -0.0533 eV per atom.

Unit cell a=8.015 b=8.015 c=8.169 alpha=120.64 beta=120.64 gamma=89.88
Sites, in units of the cell vectors:
Ag: 0.500 0.500 0.000
Ag: 0.000 0.000 0.500
Se: 0.257 0.776 0.016
Se: 0.258 0.242 0.478
P: 0.500 0.500 0.500
Se: 0.724 0.243 0.484
Se: 0.276 0.757 0.516
Se: 0.743 0.224 0.984
Ag: 0.500 0.000 0.000
Se: 0.742 0.758 0.978
Se: 0.742 0.758 0.522
Pb: 0.000 0.500 0.000
P: 0.000 0.000 0.000
Pb: 0.000 0.500 0.500
Ag: 0.500 0.000 0.500
Se: 0.258 0.242 0.022